CsY2CdGa | PBE-GGA | relaxed

Unit cell a=5.5713 b=5.5713 c=6.9308 alpha=90.00 beta=90.00 gamma=90.00
Space group P4/mmm (No. 123)
Asymmetric unit:
Cs  0.0000  0.0000  0.0000 [1 per cell]
Y  0.0000  0.5000  0.5000 [2 per cell]
Cd  0.5000  0.5000  0.0000 [1 per cell]
Ga  0.0000  0.0000  0.5000 [1 per cell]

Summary:
DFT formation energy = 35 kJ per mole of atoms

=====

KAlCrGe2 | PBE-GGA | relaxed

Unit cell a=4.8915 b=4.8915 c=5.4502 alpha=90.00 beta=90.00 gamma=90.00
Space group P4/mmm (No. 123)
Asymmetric unit:
K  0.0000  0.0000  0.0000 [1 per cell]
Al  0.0000  0.0000  0.5000 [1 per cell]
Cr  0.5000  0.5000  0.0000 [1 per cell]
Ge  0.0000  0.5000  0.5000 [2 per cell]

Summary:
DFT formation energy = 138 kJ per mole of atoms

=====

Tl2AgS2 | PBE-GGA | relaxed

Unit cell a=7.4612 b=7.4612 c=4.5034 alpha=90.00 beta=90.00 gamma=90.00
Space group P4/mbm (No. 127)
Asymmetric unit:
Tl  0.1463  0.3537  0.0000 [4 per cell]
Ag  0.0000  0.0000  0.5000 [2 per cell]
S  0.1825  0.6825  0.5000 [4 per cell]

Summary:
ΔE to the lowest computed polymorph = 148.6 meV/atom

=====

BeFeRe2 | PBE-GGA | relaxed

Unit cell a=3.6384 b=3.6384 c=7.6610 alpha=90.00 beta=90.00 gamma=90.00
Space group I-4m2 (No. 119)
Asymmetric unit:
Be  0.0000  0.0000  0.0000 [2 per cell]
Fe  0.0000  0.5000  0.7500 [2 per cell]
Re  0.0000  0.0000  0.5000 [2 per cell]
Re  0.0000  0.5000  0.2500 [2 per cell]

Summary:
DFT formation energy = 10 kJ per mole of atoms

=====

RbNb2RhSe | PBE-GGA | relaxed

Unit cell a=4.7928 b=4.7928 c=5.4073 alpha=90.00 beta=90.00 gamma=90.00
Space group P4/mmm (No. 123)
Asymmetric unit:
Rb  0.0000  0.0000  0.0000 [1 per cell]
Nb  0.0000  0.5000  0.0000 [2 per cell]
Rh  0.5000  0.5000  0.5000 [1 per cell]
Se  0.0000  0.0000  0.5000 [1 per cell]

Summary:
Final energy = -0.26285 Ry per atom

=====

BaTaSe2 | PBE-GGA | relaxed

Unit cell a=3.7166 b=6.6337 c=9.1641 alpha=90.00 beta=90.00 gamma=90.00
Space group Immm (No. 71)
Asymmetric unit:
Ba  0.0000  0.0000  0.0000 [2 per cell]
Ta  0.0000  0.0000  0.5000 [2 per cell]
Se  0.0000  0.5000  0.1937 [4 per cell]

Summary:
ΔE to the lowest computed polymorph = 121.4 meV/atom

=====

La2MgZr | PBE-GGA | relaxed

Unit cell a=11.6911 b=3.4687 c=5.8915 alpha=90.00 beta=102.47 gamma=90.00
Space group Cm (No. 8)
Asymmetric unit:
La  0.0000  0.0000  0.0000 [2 per cell]
La  0.2291  0.0000  0.7376 [2 per cell]
Mg  0.2520  0.5000  0.2601 [2 per cell]
Zr  0.4784  0.0000  0.4924 [2 per cell]

Summary:
DFT formation energy = 9 kJ per mole of atoms

=====

LiTaRu | PBE-GGA | relaxed

Unit cell a=5.9795 b=5.9795 c=5.9795 alpha=90.00 beta=90.00 gamma=90.00
Space group F-43m (No. 216)
Asymmetric unit:
Li  0.0000  0.0000  0.0000 [4 per cell]
Ta  0.2500  0.2500  0.2500 [4 per cell]
Ru  0.0000  0.0000  0.5000 [4 per cell]

Summary:
DFT formation energy = 59 kJ per mole of atoms
ΔE to the lowest computed polymorph = 608.7 meV/atom

=====

Number 1: DOS(E_F) 4.1 states/eV/cell. Number 2: DOS(E_F) 7.4 states/eV/cell. Number 3: DOS(E_F) 9.7 states/eV/cell. Number 4: DOS(E_F) 6.6 states/eV/cell. Number 5: DOS(E_F) 7.0 states/eV/cell. Number 6: DOS(E_F) 5.1 states/eV/cell. Number 7: DOS(E_F) 10.3 states/eV/cell. Number 8: DOS(E_F) 2.5 states/eV/cell.